# Al2PbBr | the Alexandria database | GGA-PBE | relaxed
# Electronic total energy in Ry per atom: -0.22860
# Raw formation energy in kJ/mol of formula units: 41
# Energy above the lowest structure with this stoichiometry in eV per atom: 0.1893
data_Al2PbBr
_chemical_formula_sum 'Al4 Pb2 Br2'
_space_group_name_H-M_alt 'I m m 2'
_space_group_IT_number 44
_space_group_name_Hall 'I 2 -2'
_cell_length_a 3.4649
_cell_length_b 5.8282
_cell_length_c 9.9277
_cell_angle_alpha 90.00
_cell_angle_beta 90.00
_cell_angle_gamma 90.00
loop_
_atom_site_label
_atom_site_type_symbol
_atom_site_fract_x
_atom_site_fract_y
_atom_site_fract_z
_atom_site_occupancy
Al1 Al 0.0000 0.0000 0.0000 1
Al2 Al 0.0000 0.5000 0.2889 1
Pb1 Pb 0.0000 0.5000 0.7621 1
Br1 Br 0.0000 0.0000 0.5780 1